(1)
Here is crystalline LiCuTe2I at its relaxed geometry from Alexandria. Energies are from PBE-GGA.

Values from the calculation:
formation energy without anion corrections	-0.0007	eV/atom
ΔE to the lowest computed polymorph	0.0	meV per atom

Unit cell a=4.9052 b=4.9052 c=8.0086 alpha=90.00 beta=90.00 gamma=90.00
With the nearest neighbours (Å) after each atom.
Positions (direct):
Li 0.0000 0.0000 0.0000  4 I 3.47
Cu 0.5000 0.5000 0.5000  4 Te 2.45
Te 0.0000 0.5000 0.5000  2 Cu 2.45
Te 0.5000 0.0000 0.5000  2 Cu 2.45
I 0.5000 0.5000 0.0000  4 Li 3.47

***

(2)
Here is crystalline LiTiCu2I at its relaxed geometry from Alexandria. Energies are from PBE-GGA.

Values from the calculation:
formation energy without anion corrections	0.9936	eV/atom
ΔE to the lowest computed polymorph	241.9	meV per atom

Unit cell a=4.9592 b=4.9592 c=5.0801 alpha=90.00 beta=90.00 gamma=90.00
With the nearest neighbours (Å) after each atom.
Positions (direct):
Li 0.0000 0.0000 0.0000  4 Ti 3.51, 8 Cu 3.55
Ti 0.5000 0.5000 0.0000  2 I 2.54
Cu 0.0000 0.5000 0.5000  2 I 2.48
Cu 0.5000 0.0000 0.5000  2 I 2.48
I 0.5000 0.5000 0.5000  4 Cu 2.48, 2 Ti 2.54

***

(3)
Here is crystalline LiTiCu2I at its relaxed geometry from Alexandria. Energies are from PBE-GGA.

Values from the calculation:
formation energy without anion corrections	0.7517	eV/atom
ΔE to the lowest computed polymorph	0.0	meV per atom

Unit cell a=4.3443 b=4.3443 c=4.9935 alpha=90.00 beta=90.00 gamma=90.00
With the nearest neighbours (Å) after each atom.
Positions (direct):
Li 0.0000 0.0000 0.0000  4 Cu 2.17
Ti 0.0000 0.0000 0.5000  2 Li 2.50
Cu 0.0000 0.5000 0.0000  2 Li 2.17
Cu 0.5000 0.0000 0.0000  2 Li 2.17
I 0.5000 0.5000 0.5000  4 Ti 3.07, 8 Cu 3.31

***

(4)
Here is crystalline LiTlCuI3 at its relaxed geometry from Alexandria. Energies are from PBE-GGA.

Values from the calculation:
formation energy without anion corrections	-0.6542	eV/atom

Unit cell a=9.6279 b=4.3083 c=10.0756 alpha=90.00 beta=104.79 gamma=90.00
With the nearest neighbours (Å) after each atom.
Positions (direct):
Li 0.1459 0.2500 0.1229  5 I 2.85-3.06
Li 0.8541 0.7500 0.8771  5 I 2.85-3.06
Tl 0.3151 0.7500 0.7874  7 I 3.48-3.75
Tl 0.6849 0.2500 0.2126  7 I 3.48-3.75
Cu 0.4356 0.7500 0.4294  4 I 2.62-2.72, 2 Cu 2.70
Cu 0.5644 0.2500 0.5706  4 I 2.62-2.72, 2 Cu 2.70
I 0.0463 0.2500 0.8315  3 Li 2.85-2.95
I 0.2849 0.2500 0.4762  3 Cu 2.62-2.71
I 0.3769 0.7500 0.1509  1 Cu 2.72
I 0.6231 0.2500 0.8491  1 Cu 2.72
I 0.7151 0.7500 0.5238  3 Cu 2.62-2.71
I 0.9537 0.7500 0.1685  3 Li 2.85-2.95

***

(5)
Here is crystalline LiTlCu2I6 at its relaxed geometry from Alexandria. Energies are from PBE-GGA.

Values from the calculation:
formation energy without anion corrections	-0.3839	eV/atom

Unit cell a=9.8194 b=9.8194 c=7.4815 alpha=98.58 beta=98.58 gamma=85.18
With the nearest neighbours (Å) after each atom.
Positions (direct):
Li 0.2083 0.7917 0.7500  4 I 2.90-2.93
Li 0.7917 0.2083 0.2500  4 I 2.90-2.93
Tl 0.3985 0.6015 0.2500  6 I 3.14-3.38
Tl 0.6015 0.3985 0.7500  6 I 3.14-3.38
Cu 0.0995 0.2667 0.8006  4 I 2.58-2.65
Cu 0.2667 0.0995 0.3006  4 I 2.58-2.65
Cu 0.7333 0.9005 0.6994  4 I 2.58-2.65
Cu 0.9005 0.7333 0.1994  4 I 2.58-2.65
I 0.0529 0.2102 0.1143  2 Cu 2.59-2.60, 1 Li 2.90
I 0.1126 0.6334 0.3962  1 Cu 2.58
I 0.2102 0.0529 0.6143  2 Cu 2.59-2.60, 1 Li 2.90
I 0.2765 0.4625 0.8523  1 Cu 2.65
I 0.3666 0.8874 0.1038  1 Cu 2.58
I 0.4625 0.2765 0.3523  1 Cu 2.65
I 0.5375 0.7235 0.6477  1 Cu 2.65
I 0.6334 0.1126 0.8962  1 Cu 2.58
I 0.7235 0.5375 0.1477  1 Cu 2.65
I 0.7898 0.9471 0.3857  2 Cu 2.59-2.60, 1 Li 2.90
I 0.8874 0.3666 0.6038  1 Cu 2.58
I 0.9471 0.7898 0.8857  2 Cu 2.59-2.60, 1 Li 2.90

***

(6)
Here is crystalline LiTlCu2I4 at its relaxed geometry from Alexandria. Energies are from PBE-GGA.

Values from the calculation:
formation energy without anion corrections	-0.4942	eV/atom

Unit cell a=7.2441 b=7.2441 c=7.2441 alpha=118.94 beta=106.69 gamma=103.23
With the nearest neighbours (Å) after each atom.
Positions (direct):
Li 0.0000 0.0000 0.0000  4 I 2.80
Tl 0.5000 0.5000 0.0000  8 I 3.74-3.75
Cu 0.1423 0.6423 0.5000  2 I 2.46, 1 Cu 2.56
Cu 0.8577 0.3577 0.5000  2 I 2.46, 1 Cu 2.56
I 0.0011 0.0655 0.4144  1 Cu 2.46
I 0.3490 0.9345 0.9356  1 Cu 2.46
I 0.6510 0.5867 0.5856  1 Cu 2.46
I 0.9989 0.4133 0.0644  1 Cu 2.46

***

(7)
Here is crystalline LiTlCuI4 at its relaxed geometry from Alexandria. Energies are from PBE-GGA.

Values from the calculation:
formation energy without anion corrections	-0.5308	eV/atom

Unit cell a=6.9690 b=7.2982 c=11.2016 alpha=90.00 beta=102.20 gamma=90.00
With the nearest neighbours (Å) after each atom.
Positions (direct):
Li 0.1662 0.2500 0.2953  4 I 2.73-2.82
Li 0.8338 0.7500 0.7047  4 I 2.73-2.82
Tl 0.3037 0.2500 0.9855  6 I 3.51-3.87, 1 Li 3.79
Tl 0.6963 0.7500 0.0145  6 I 3.51-3.87, 1 Li 3.79
Cu 0.2911 0.7500 0.7022  4 I 2.53-2.77
Cu 0.7089 0.2500 0.2978  4 I 2.53-2.77
I 0.0180 0.7500 0.5129  1 Cu 2.53, 1 Li 2.73
I 0.1369 0.7500 0.9104  1 Cu 2.77, 1 Li 2.78
I 0.4498 0.5076 0.2599  1 Cu 2.58, 1 Li 2.82
I 0.4498 0.9924 0.2599  1 Cu 2.58, 1 Li 2.82
I 0.5502 0.0076 0.7401  1 Cu 2.58, 1 Li 2.82
I 0.5502 0.4924 0.7401  1 Cu 2.58, 1 Li 2.82
I 0.8631 0.2500 0.0896  1 Cu 2.77, 1 Li 2.78
I 0.9820 0.2500 0.4871  1 Cu 2.53, 1 Li 2.73

***

(8)
Here is crystalline LiZnCuI2 at its relaxed geometry from Alexandria. Energies are from PBE-GGA.

Values from the calculation:
formation energy without anion corrections	0.0617	eV/atom

Unit cell a=5.4176 b=5.4176 c=5.3284 alpha=90.00 beta=90.00 gamma=90.00
With the nearest neighbours (Å) after each atom.
Positions (direct):
Li 0.0000 0.0000 0.0000  2 Cu 2.66
Zn 0.5000 0.5000 0.0000  8 I 3.80, 4 Li 3.83
Cu 0.0000 0.0000 0.5000  2 Li 2.66, 4 I 2.71
I 0.0000 0.5000 0.5000  2 Cu 2.71
I 0.5000 0.0000 0.5000  2 Cu 2.71

***

(9)
Here is crystalline MgCuI2 at its relaxed geometry from Alexandria. Energies are from PBE-GGA.

Values from the calculation:
formation energy without anion corrections	-0.1130	eV/atom
ΔE to the lowest computed polymorph	0.0	meV per atom

Unit cell a=7.8039 b=7.8039 c=7.8039 alpha=127.69 beta=127.69 gamma=77.13
With the nearest neighbours (Å) after each atom.
Positions (direct):
Mg 0.0000 0.0000 0.0000  4 I 3.11
Mg 0.7500 0.2500 0.5000  4 I 3.11
Cu 0.2500 0.7500 0.5000  4 I 2.66
Cu 0.5000 0.5000 0.0000  4 I 2.66
I 0.1802 0.6250 0.0552  2 Cu 2.66
I 0.3750 0.4302 0.5552  2 Cu 2.66
I 0.5698 0.1250 0.9448  2 Cu 2.66
I 0.8750 0.8198 0.4448  2 Cu 2.66

***

(10)
Here is crystalline MgCu2I4 at its relaxed geometry from Alexandria. Energies are from PBE-GGA.

Values from the calculation:
formation energy without anion corrections	-0.4974	eV/atom

Unit cell a=6.1752 b=6.1752 c=6.1554 alpha=90.00 beta=90.00 gamma=90.00
With the nearest neighbours (Å) after each atom.
Positions (direct):
Mg 0.0000 0.0000 0.0000  4 I 2.77
Cu 0.0000 0.5000 0.5000  4 I 2.64
Cu 0.5000 0.0000 0.5000  4 I 2.64
I 0.2594 0.2594 0.2581  2 Cu 2.64, 1 Mg 2.77
I 0.2594 0.7406 0.7419  2 Cu 2.64, 1 Mg 2.77
I 0.7406 0.2594 0.7419  2 Cu 2.64, 1 Mg 2.77
I 0.7406 0.7406 0.2581  2 Cu 2.64, 1 Mg 2.77

***

(11)
Here is crystalline MgCu2I at its relaxed geometry from Alexandria. Energies are from PBE-GGA.

Values from the calculation:
formation energy without anion corrections	0.5195	eV/atom
ΔE to the lowest computed polymorph	148.7	meV per atom

Unit cell a=4.7996 b=4.7996 c=4.7996 alpha=60.00 beta=60.00 gamma=60.00
With the nearest neighbours (Å) after each atom.
Positions (direct):
Mg 0.0000 0.0000 0.0000  8 Cu 2.94
Cu 0.2500 0.2500 0.2500  4 Mg 2.94, 4 I 2.94
Cu 0.7500 0.7500 0.7500  4 I 2.94, 4 Mg 2.94
I 0.5000 0.5000 0.5000  8 Cu 2.94

***

(12)
Here is crystalline MgCuI2 at its relaxed geometry from Alexandria. Energies are from PBE-GGA.

Values from the calculation:
formation energy without anion corrections	0.0667	eV/atom
ΔE to the lowest computed polymorph	179.7	meV per atom

Unit cell a=5.2582 b=5.2582 c=5.2582 alpha=60.00 beta=60.00 gamma=60.00
With the nearest neighbours (Å) after each atom.
Positions (direct):
Mg 0.0000 0.0000 0.0000  8 I 3.22
Cu 0.5000 0.5000 0.5000  8 I 3.22
I 0.2500 0.2500 0.2500  4 Mg 3.22, 4 Cu 3.22
I 0.7500 0.7500 0.7500  4 Mg 3.22, 4 Cu 3.22

***

(13)
Here is crystalline MgCu2I at its relaxed geometry from Alexandria. Energies are from PBE-GGA.

Values from the calculation:
formation energy without anion corrections	0.3707	eV/atom
ΔE to the lowest computed polymorph	0.0	meV per atom

Unit cell a=6.1091 b=6.1091 c=6.1091 alpha=102.68 beta=102.68 gamma=124.14
With the nearest neighbours (Å) after each atom.
Positions (direct):
Mg 0.0000 0.0000 0.0000  4 Cu 2.82, 2 I 2.86
Mg 0.7500 0.2500 0.5000  4 Cu 2.82, 2 I 2.86
Cu 0.1309 0.6250 0.0059  2 I 2.76, 2 Mg 2.82, 2 Cu 2.86
Cu 0.3750 0.3809 0.5059  2 I 2.76, 2 Mg 2.82, 2 Cu 2.86
Cu 0.6191 0.1250 0.9941  2 I 2.76, 2 Mg 2.82, 2 Cu 2.86
Cu 0.8750 0.8691 0.4941  2 I 2.76, 2 Mg 2.82, 2 Cu 2.86
I 0.2500 0.7500 0.5000  4 Cu 2.76, 2 Mg 2.86
I 0.5000 0.5000 0.0000  4 Cu 2.76, 2 Mg 2.86

***

(14)
Here is crystalline MgCuI2 at its relaxed geometry from Alexandria. Energies are from PBE-GGA.

Values from the calculation:
formation energy without anion corrections	-0.0864	eV/atom
ΔE to the lowest computed polymorph	26.5	meV per atom

Unit cell a=9.1264 b=9.1264 c=9.1264 alpha=26.92 beta=26.92 gamma=26.92
With the nearest neighbours (Å) after each atom.
Positions (direct):
Mg 0.0000 0.0000 0.0000  6 I 3.09
Cu 0.5000 0.5000 0.5000  2 I 2.51
I 0.4047 0.4047 0.4047  1 Cu 2.51
I 0.5953 0.5953 0.5953  1 Cu 2.51

***

(15)
Here is crystalline Mg3CuI at its relaxed geometry from Alexandria. Energies are from PBE-GGA.

Values from the calculation:
formation energy without anion corrections	-0.0044	eV/atom
ΔE to the lowest computed polymorph	0.0	meV per atom

Unit cell a=5.1125 b=5.1125 c=5.1125 alpha=90.00 beta=90.00 gamma=90.00
With the nearest neighbours (Å) after each atom.
Positions (direct):
Mg 0.0000 0.0000 0.5000  2 Cu 2.56
Mg 0.0000 0.5000 0.0000  2 Cu 2.56
Mg 0.5000 0.0000 0.0000  2 Cu 2.56
Cu 0.0000 0.0000 0.0000  6 Mg 2.56
I 0.5000 0.5000 0.5000  12 Mg 3.62

***

(16)
Here is crystalline MgMn2CuI at its relaxed geometry from Alexandria. Energies are from PBE-GGA.

Values from the calculation:
formation energy without anion corrections	1.3659	eV/atom

Unit cell a=4.8681 b=4.8681 c=5.4953 alpha=90.00 beta=90.00 gamma=90.00
With the nearest neighbours (Å) after each atom.
Positions (direct):
Mg 0.0000 0.0000 0.0000  2 I 2.75
Mn 0.0000 0.5000 0.5000  2 I 2.43
Mn 0.5000 0.0000 0.5000  2 I 2.43
Cu 0.5000 0.5000 0.0000  4 Mg 3.44, 8 Mn 3.67
I 0.0000 0.0000 0.5000  4 Mn 2.43

***

(17)
Here is crystalline MgCuI2N at its relaxed geometry from Alexandria. Energies are from PBE-GGA.

Values from the calculation:
formation energy without anion corrections	0.4684	eV/atom
ΔE to the lowest computed polymorph	0.0	meV per atom

Unit cell a=5.6425 b=5.6425 c=3.6477 alpha=90.00 beta=90.00 gamma=90.00
With the nearest neighbours (Å) after each atom.
Positions (direct):
Mg 0.0000 0.0000 0.0000  8 I 3.36, 2 Mg 3.65
Cu 0.5000 0.5000 0.5000  2 N 1.82
I 0.0000 0.5000 0.5000  2 Cu 2.82
I 0.5000 0.0000 0.5000  2 Cu 2.82
N 0.5000 0.5000 0.0000  2 Cu 1.82

***

(18)
Here is crystalline MgCuIN2 at its relaxed geometry from Alexandria. Energies are from PBE-GGA.

Values from the calculation:
formation energy without anion corrections	1.2615	eV/atom
ΔE to the lowest computed polymorph	0.0	meV per atom

Unit cell a=3.9366 b=3.9366 c=5.8973 alpha=90.00 beta=90.00 gamma=90.00
With the nearest neighbours (Å) after each atom.
Positions (direct):
Mg 0.0000 0.0000 0.0000  4 I 2.78
Cu 0.5000 0.5000 0.5000  4 N 1.97
I 0.5000 0.5000 0.0000  4 Mg 2.78, 2 Cu 2.95
N 0.0000 0.5000 0.5000  2 Cu 1.97
N 0.5000 0.0000 0.5000  2 Cu 1.97

***

(19)
Here is crystalline MgCuIN2 at its relaxed geometry from Alexandria. Energies are from PBE-GGA.

Values from the calculation:
formation energy without anion corrections	1.2739	eV/atom
ΔE to the lowest computed polymorph	12.3	meV per atom

Unit cell a=4.1200 b=4.1200 c=6.2477 alpha=90.00 beta=90.00 gamma=90.00
With the nearest neighbours (Å) after each atom.
Positions (direct):
Mg 0.0000 0.0000 0.0000  4 N 2.06
Cu 0.5000 0.5000 0.5000  4 I 2.91
I 0.0000 0.0000 0.5000  4 Cu 2.91, 2 Mg 3.12
N 0.0000 0.5000 0.0000  2 Mg 2.06
N 0.5000 0.0000 0.0000  2 Mg 2.06

***

(20)
Here is crystalline MgCuI2N at its relaxed geometry from Alexandria. Energies are from PBE-GGA.

Values from the calculation:
formation energy without anion corrections	0.5585	eV/atom
ΔE to the lowest computed polymorph	90.1	meV per atom

Unit cell a=5.7751 b=5.7751 c=4.0561 alpha=90.00 beta=90.00 gamma=90.00
With the nearest neighbours (Å) after each atom.
Positions (direct):
Mg 0.0000 0.0000 0.0000  2 N 2.03
Cu 0.5000 0.5000 0.5000  8 I 3.53
I 0.0000 0.5000 0.0000  2 Mg 2.89
I 0.5000 0.0000 0.0000  2 Mg 2.89
N 0.0000 0.0000 0.5000  2 Mg 2.03

***

Number 1: E -13.8 eV for the cell shown. Number 2: E -14.6 eV for the cell shown. Number 3: E -15.8 eV for the cell shown. Number 4: E -33.9 eV for the cell shown. Number 5: E -51.2 eV for the cell shown. Number 6: E -22.6 eV for the cell shown. Number 7: E -36.6 eV for the cell shown. Number 8: E -10.1 eV for the cell shown. Number 9: E -18.5 eV for the cell shown. Number 10: E -19.5 eV for the cell shown. Number 11: E -9.3 eV for the cell shown. Number 12: E -8.5 eV for the cell shown. Number 13: E -19.7 eV for the cell shown. Number 14: E -9.1 eV for the cell shown. Number 15: E -10.5 eV for the cell shown. Number 16: E -18.8 eV for the cell shown. Number 17: E -14.8 eV for the cell shown. Number 18: E -17.6 eV for the cell shown. Number 19: E -17.5 eV for the cell shown. Number 20: E -14.3 eV for the cell shown.